Record 1
DFT (PBE-GGA) results for a relaxed TbPr3Pa2P6 crystal.

Geometry as extended XYZ:
```
12
Lattice="-2.537 -6.294 1.956 3.470 0.663 -6.115 5.465 0.520 4.516" Properties=species:S:1:pos:R:3 pbc="T T T"
P 1.957 -4.034 -2.021
P 0.476 -2.452 1.389
P 2.516 -0.090 -1.352
P 3.882 -5.021 1.709
P 4.441 -1.076 2.378
P 5.921 -2.658 -1.031
Tb 0.000 0.000 0.000
Pr 1.188 -4.884 2.880
Pr 3.199 -2.555 0.179
Pr 5.210 -0.227 -2.523
Pa 1.469 -1.655 -3.425
Pa -0.535 -3.976 -0.733
```

Results
Its energy relative to the elements is -1.4781 eV per atom. The density of states at the Fermi level is 0.72 states/eV per atom. Its total moment is 0.0 Bohr magnetons per cell. Its calculated volume is 24.14 A^3/atom.


Record 2
DFT (PBE-GGA) results for a relaxed Tb2Pr3PaP6 crystal.

Geometry as extended XYZ:
```
12
Lattice="7.086 -0.001 0.001 -3.542 6.138 0.001 -1.181 -2.044 6.718" Properties=species:S:1:pos:R:3 pbc="T T T"
Pr 1.182 2.046 3.361
Pr -2.342 4.081 3.361
Pr 4.706 0.011 3.361
Pa 0.000 0.000 0.000
P 3.519 2.092 5.142
P 2.310 -0.001 1.579
P 2.391 4.140 1.580
P -0.027 -0.047 5.141
P 0.054 4.094 5.142
P -1.155 2.000 1.579
Tb 0.006 4.089 0.001
Tb 3.539 2.048 0.001
```

Results
Its energy relative to the elements is -1.5351 eV per atom. The density of states at the Fermi level is 0.32 states/eV per atom. Its total moment is 0.0 Bohr magnetons per cell. Its calculated volume is 24.35 A^3/atom.


Record 3
DFT (PBE-GGA) results for a relaxed TbPrPa2P4 crystal.

Geometry as extended XYZ:
```
8
Lattice="-3.152 -0.401 -2.482 4.362 -1.054 -5.367 1.341 -6.830 -0.598" Properties=species:S:1:pos:R:3 pbc="T T T"
P 4.328 -5.861 -4.548
P 0.471 -5.568 -2.973
P -1.778 -2.423 -3.900
P 2.079 -2.717 -5.475
Pr 0.605 -0.728 -3.925
Tb 2.851 -3.942 -2.983
Pa -0.906 -3.615 -1.540
Pa 1.341 -6.830 -0.598
```

Results
Its energy relative to the elements is -1.4312 eV per atom. The density of states at the Fermi level is 0.81 states/eV per atom. Its total moment is 0.0 Bohr magnetons per cell. Its calculated volume is 23.23 A^3/atom.


Record 4
DFT (PBE-GGA) results for a relaxed Pr2PaTe2P2 crystal.

Geometry as extended XYZ:
```
7
Lattice="5.210 0.000 0.000 0.000 5.210 0.000 -2.605 -2.605 7.992" Properties=species:S:1:pos:R:3 pbc="T T T"
P 2.605 0.000 0.000
P 0.000 2.605 0.000
Te 2.605 2.605 4.989
Te 0.000 0.000 3.002
Pa 0.000 0.000 0.000
Pr 2.605 2.605 1.789
Pr 0.000 0.000 6.203
```

Results
The uncorrected formation energy comes out at -1.1107 eV per atom. The density of states at the Fermi level is 0.56 states/eV per atom. Its total moment is 0.0 Bohr magnetons per cell. Its calculated volume is 30.99 A^3/atom.


| no. | mass density (g/cm³) |
| --- | --- |
| 1 | 7.0 |
| 2 | 6.6 |
| 3 | 7.9 |
| 4 | 6.4 |